# NiSbP

A relaxed structure of NiSbP (GGA-PBEsol, the Alexandria database).

Summary:
Space group   P6_3/mmc, No. 194
Polymorph energy (0 for the lowest one)   77.5 kJ per mole of atoms
Raw formation energy   0.5081 eV/atom

abc: 4.6102 4.6102 5.4111
angles: 90.00 90.00 120.00
Fractional positions:
P 0.6667 0.3333 0.2500
P 0.3333 0.6667 0.7500
Ni 0.0000 0.0000 0.0000
Ni 0.0000 0.0000 0.5000
Sb 0.3333 0.6667 0.2500
Sb 0.6667 0.3333 0.7500

# Be2GaFe2

A relaxed structure of Be2GaFe2 (GGA-PBEsol, the Alexandria database).

Summary:
Space group   P4/mbm, No. 127
Energy of formation   -190 meV per atom

abc: 2.8139 5.7890 5.7890
angles: 90.00 90.00 90.00
Site moments in Bohr magnetons follow the coordinates.
Fractional positions:
Be 0.0000 0.6228 0.1228  -0.03
Be 0.0000 0.8772 0.6228  -0.03
Be 0.0000 0.3772 0.8772  -0.03
Be 0.0000 0.1228 0.3772  -0.03
Fe 0.5000 0.1701 0.6701  0.59
Fe 0.5000 0.3299 0.1701  0.59
Fe 0.5000 0.8299 0.3299  0.59
Fe 0.5000 0.6701 0.8299  0.59
Ga 0.0000 0.5000 0.5000  -0.03
Ga 0.0000 0.0000 0.0000  -0.03

| no. | total energy (eV/atom) |
| --- | --- |
| 1 | -4.994 |
| 2 | -6.043 |